1) ## KPbOF2 (PBE)

Data for an optimized crystal structure of KPbOF2.

Lattice parameters (Å, degrees): 4.727 4.727 4.792 90.00 90.00 90.00
Element x y z (fractional)
K (0.000, 0.000, 0.000)
Pb (0.500, 0.500, 0.500)
O (0.000, 0.000, 0.500)
F (0.000, 0.500, 0.000)
F (0.500, 0.000, 0.000)

The total magnetic moment is 1.000 μB per formula unit.

---

2) ## KPbOF2 (PBE)

Data for an optimized crystal structure of KPbOF2.

Lattice parameters (Å, degrees): 4.763 4.763 4.283 90.00 90.00 90.00
Element x y z (fractional)
K (0.000, 0.000, 0.000)
Pb (0.500, 0.500, 0.500)
O (0.500, 0.500, 0.000)
F (0.000, 0.500, 0.500)
F (0.500, 0.000, 0.500)

The total magnetic moment is 0.000 μB per formula unit.

---

The structure shown above that is most stable: 2).